Compound: ReSiSe2
Source: the Alexandria database
Functional: PBE
Structure: relaxed

Geometry as extended XYZ:
```
4
Lattice="3.176 0.000 0.000 0.000 3.176 0.000 0.000 0.000 7.318" Properties=species:S:1:pos:R:3 pbc="T T T"
Re 0.000 0.000 0.000
Si 1.588 1.588 5.955
Se 0.000 0.000 4.660
Se 1.588 1.588 1.516
```

Its formation energy (no corrections) is 0.138 eV per atom. The value obtained for the density of states at the Fermi level is 0.47 states/eV per atom. The calculation puts the calculated volume at 18.449 A^3/atom. The total magnetization comes out at 0.00 μB/f.u.


Compound: Tb5PmNd2Sm
Source: the Alexandria database
Functional: PBE
Structure: relaxed

Geometry as extended XYZ:
```
18
Lattice="-4.362 4.362 7.880 4.362 -4.362 7.880 4.362 4.362 -7.880" Properties=species:S:1:pos:R:3 pbc="T T T"
Tb 0.000 0.000 0.000
Tb 6.187 1.825 -2.181
Tb 1.825 2.537 -2.181
Tb 6.187 1.825 2.181
Tb 1.825 2.537 2.181
Tb 0.000 0.000 7.880
Tb 2.537 1.825 5.699
Tb -1.825 2.537 5.699
Tb 2.537 1.825 10.060
Tb -1.825 2.537 10.060
Pm 0.000 0.000 3.940
Pm 0.000 0.000 11.820
Nd 3.331 1.031 0.000
Nd 3.331 -1.031 7.880
Nd 1.031 5.393 0.000
Nd 1.031 3.331 7.880
Sm 4.362 0.000 3.940
Sm 0.000 4.362 3.940
```

For the formation enthalpy at 0 K, the calculation gives 0.26 eV/atom. The value obtained for the density of states at the Fermi level is 1.19 states/eV per atom. The calculation puts the calculated volume at 33.316 A^3/atom. The total magnetization comes out at 0.00 μB/f.u.


Compound: Al2AgW
Source: the Alexandria database
Functional: PBE
Structure: relaxed

Geometry as extended XYZ:
```
4
Lattice="-2.020 2.020 3.897 2.020 -2.020 3.897 2.020 2.020 -3.897" Properties=species:S:1:pos:R:3 pbc="T T T"
Al 2.020 0.000 1.948
Al 0.000 2.020 1.948
Ag 0.000 0.000 0.000
W 0.000 0.000 3.897
```

For the formation enthalpy at 0 K, the calculation gives 0.22 eV/atom. The value obtained for the density of states at the Fermi level is 0.68 states/eV per atom. Its relative energy among the computed polymorphs is 210 meV/atom. The calculation puts the calculated volume at 15.906 A^3/atom. The total magnetization comes out at 0.00 μB/f.u.


Compound: ThV2Re
Source: the Alexandria database
Functional: PBE
Structure: relaxed

Geometry as extended XYZ:
```
4
Lattice="3.128 0.000 0.000 0.000 3.128 0.000 0.000 0.000 7.486" Properties=species:S:1:pos:R:3 pbc="T T T"
Th 0.000 0.000 0.000
V 1.564 1.564 2.338
V 1.564 1.564 5.148
Re 0.000 0.000 3.743
```

For the formation enthalpy at 0 K, the calculation gives 0.14 eV/atom. The value obtained for the density of states at the Fermi level is 1.35 states/eV per atom. Its relative energy among the computed polymorphs is 0 meV/atom. The calculation puts the calculated volume at 18.316 A^3/atom. The total magnetization comes out at 1.29 μB/f.u.


Compound: Be2SiNiAs
Source: the Alexandria database
Functional: PBE
Structure: relaxed

Geometry as extended XYZ:
```
5
Lattice="3.976 0.000 0.000 0.000 3.976 0.000 0.000 0.000 5.312" Properties=species:S:1:pos:R:3 pbc="T T T"
Be 0.000 1.988 0.000
Be 1.988 0.000 0.000
Si 0.000 0.000 2.656
Ni 1.988 1.988 2.656
As 0.000 0.000 0.000
```

Its formation energy (no corrections) is 1.023 eV per atom. The value obtained for the density of states at the Fermi level is 0.43 states/eV per atom. The calculation puts the calculated volume at 16.794 A^3/atom. The total magnetization comes out at 0.00 μB/f.u.


Compound: KHf3Ni
Source: the Alexandria database
Functional: PBE
Structure: relaxed

Geometry as extended XYZ:
```
5
Lattice="4.783 0.000 0.000 0.000 4.783 0.000 0.000 0.000 4.783" Properties=species:S:1:pos:R:3 pbc="T T T"
K 0.000 0.000 0.000
Hf 0.000 0.000 2.391
Hf 0.000 2.391 0.000
Hf 2.391 0.000 0.000
Ni 2.391 2.391 2.391
```

For the formation enthalpy at 0 K, the calculation gives 2.37 eV/atom. The value obtained for the density of states at the Fermi level is 0.71 states/eV per atom. Its relative energy among the computed polymorphs is 1712 meV/atom. The calculation puts the calculated volume at 21.878 A^3/atom. The total magnetization comes out at 0.00 μB/f.u.


Compound: PmEr2AlS6
Source: the Alexandria database
Functional: PBE
Structure: relaxed

Geometry as extended XYZ:
```
10
Lattice="3.370 1.945 5.994 -3.370 1.945 5.994 0.000 -3.891 5.994" Properties=species:S:1:pos:R:3 pbc="T T T"
Pm 0.000 0.000 0.000
Er 0.000 0.000 5.216
Er 0.000 0.000 14.324
Al 0.000 0.000 8.825
S -1.906 -0.022 7.213
S -1.216 -1.751 10.066
S 0.972 -1.640 7.213
S -0.908 1.928 10.066
S 0.934 1.662 7.213
S 2.124 -0.178 10.066
```

Its formation energy (no corrections) is -1.731 eV per atom. The value obtained for the density of states at the Fermi level is 0.00 states/eV per atom. The calculation puts the calculated volume at 23.577 A^3/atom. The total magnetization comes out at 0.00 μB/f.u.


Compound: Ba4Pu3MgO12
Source: the Alexandria database
Functional: PBE
Structure: relaxed

Geometry as extended XYZ:
```
20
Lattice="-4.325 4.325 4.325 4.325 -4.325 4.325 4.325 4.325 -4.325" Properties=species:S:1:pos:R:3 pbc="T T T"
Ba 2.163 2.163 -2.163
Ba 2.163 -2.163 2.163
Ba -2.163 2.163 2.163
Ba 2.163 2.163 2.163
Pu 4.325 0.000 0.000
Pu 0.000 4.325 0.000
Pu 0.000 0.000 4.325
Mg 0.000 0.000 0.000
O 2.210 0.000 0.000
O 6.440 0.000 0.000
O 4.325 2.163 0.000
O 4.325 0.000 2.163
O 0.000 2.210 0.000
O 0.000 0.000 2.210
O 2.163 4.325 0.000
O 2.163 0.000 4.325
O 0.000 6.440 0.000
O 0.000 0.000 6.440
O 0.000 4.325 2.163
O 0.000 2.163 4.325
```

Its formation energy (no corrections) is -2.882 eV per atom. The value obtained for the density of states at the Fermi level is 0.81 states/eV per atom. The calculation puts the calculated volume at 16.182 A^3/atom. The total magnetization comes out at 10.00 μB/f.u.


Compound: Al2AuBr
Source: the Alexandria database
Functional: PBE
Structure: relaxed

Geometry as extended XYZ:
```
4
Lattice="-1.951 1.951 5.905 1.951 -1.951 5.905 1.951 1.951 -5.905" Properties=species:S:1:pos:R:3 pbc="T T T"
Al 0.000 0.000 0.000
Al 0.000 1.951 2.953
Au 1.951 0.000 2.953
Br 0.000 0.000 5.905
```

Its formation energy (no corrections) is 0.101 eV per atom. The value obtained for the density of states at the Fermi level is 0.26 states/eV per atom. Its relative energy among the computed polymorphs is 456 meV/atom. The calculation puts the calculated volume at 22.470 A^3/atom. The total magnetization comes out at 0.00 μB/f.u.


Compound: La9Ho2Sc
Source: the Alexandria database
Functional: PBE
Structure: relaxed

Geometry as extended XYZ:
```
12
Lattice="5.165 0.000 0.000 0.000 5.165 0.000 0.000 0.000 15.499" Properties=species:S:1:pos:R:3 pbc="T T T"
La 0.000 0.000 0.000
La 0.000 0.000 5.149
La 0.000 0.000 10.350
La 0.000 2.583 2.530
La 0.000 2.583 7.750
La 0.000 2.583 12.969
La 2.583 0.000 2.530
La 2.583 0.000 7.750
La 2.583 0.000 12.969
Ho 2.583 2.583 5.134
Ho 2.583 2.583 10.365
Sc 2.583 2.583 0.000
```

For the formation enthalpy at 0 K, the calculation gives 0.02 eV/atom. The value obtained for the density of states at the Fermi level is 1.18 states/eV per atom. The calculation puts the calculated volume at 34.459 A^3/atom. The total magnetization comes out at 0.00 μB/f.u.


Compound: Sr2MnHIr
Source: the Alexandria database
Functional: PBE
Structure: relaxed

Geometry as extended XYZ:
```
5
Lattice="5.553 0.000 0.000 0.000 5.553 0.000 0.000 0.000 3.189" Properties=species:S:1:pos:R:3 pbc="T T T"
Sr 0.000 2.776 0.000
Sr 2.776 0.000 0.000
Mn 0.000 0.000 0.000
H 0.000 0.000 1.594
Ir 2.776 2.776 1.594
```

The value obtained for the density of states at the Fermi level is 0.52 states/eV per atom. The calculation puts the calculated volume at 19.663 A^3/atom. The total magnetization comes out at 2.72 μB/f.u.


Compound: Sm2Dy2Zn3
Source: the Alexandria database
Functional: PBE
Structure: relaxed

Geometry as extended XYZ:
```
7
Lattice="5.031 0.000 0.000 2.514 4.366 0.000 2.503 1.451 8.204" Properties=species:S:1:pos:R:3 pbc="T T T"
Sm 1.250 0.732 0.982
Sm 8.799 5.085 7.222
Dy 3.765 2.184 3.025
Dy 6.284 3.633 5.179
Zn 1.252 0.725 4.102
Zn 3.768 2.176 6.057
Zn 6.281 3.641 2.148
```

For the formation enthalpy at 0 K, the calculation gives -0.20 eV/atom. The value obtained for the density of states at the Fermi level is 1.33 states/eV per atom. The calculation puts the calculated volume at 25.746 A^3/atom. The total magnetization comes out at 0.00 μB/f.u.


DFT total energy (computed, eV for the cell shown): -24.29, -79.71, -22.41, -37.53, -18.19, -24.90, -59.69, -169.43, -12.03, -59.64, -21.88, -23.84